Below is a geometry-optimized Zr5Os4 structure, with properties calculated at the PBE-GGA level.

a b c (Å): 8.4508 8.4508 4.6684
angles (deg): 90.00 90.00 90.00
Space group I4/mmm (No. 139)
One atom of each set of equivalent atoms:
Zr (0.0000, 0.0000, 0.0000) (multiplicity 2)
Zr (0.1782, 0.1782, 0.5000) (multiplicity 8)
Os (0.0000, 0.3501, 0.0000) (multiplicity 8)

- Excess energy over the best structure of this formula in the dataset: 11.8 kJ per mole of atoms
- Total DFT energy (no corrections): -0.3604 Ha/atom
- Crystal system: tetragonal
- DOS at the Fermi energy: 10.91 states/eV/f.u.